DFT (PBE-GGA) results for a relaxed structure of NdPu3Te4.

Output
N(E_F): 4.61 states/eV per atom
Formation energy (no corrections): -1.164 eV per atom
Calculated total energy: -8.705 eV/atom

Geometry as extended XYZ:
```
8
Lattice="-0.4917 -0.5529 4.3888 7.3569 -2.2752 0.5376 -0.4237 7.6531 0.9166" Properties=species:S:1:pos:R:3 pbc="T T T"
Nd -0.2458 -0.2764 2.1944
Pu -0.2118 3.8265 0.4583
Pu 3.2207 2.4125 2.9215
Pu 3.6784 -1.1376 0.2688
Te 5.1719 4.0117 1.0848
Te 1.2844 4.8833 3.0158
Te 1.7613 1.3662 0.3694
Te 5.1571 -0.0583 2.8272
```

DFT (PBE-GGA) results for a relaxed structure of TaTi3Pd6.

Output
DFT formation energy: -0.403 eV/atom
N(E_F): 0.93 states/eV per atom
Calculated total energy: -7.073 eV/atom

Geometry as extended XYZ:
```
20
Lattice="2.8454 0.0000 0.0000 0.0000 10.2901 0.6054 0.0000 -2.8477 10.7733" Properties=species:S:1:pos:R:3 pbc="T T T"
Ta 2.1340 -1.6013 7.7167
Ta 0.7113 9.0437 3.6619
Ti 2.1340 1.6432 9.8168
Ti 0.7113 5.7992 1.5619
Ti 2.1340 5.1863 5.8525
Ti 0.7113 2.2561 5.5262
Ti 2.1340 0.7024 0.9878
Ti 0.7113 6.7400 10.3908
Pd 2.1340 3.2886 7.5541
Pd 0.7113 4.1538 3.8246
Pd 2.1340 8.1448 1.3933
Pd 0.7113 -0.7024 9.9853
Pd 2.1340 3.4753 1.4198
Pd 0.7113 3.9671 9.9588
Pd 2.1340 6.6560 3.7335
Pd 0.7113 0.7864 7.6451
Pd 2.1340 -0.1534 5.2600
Pd 0.7113 7.5958 6.1186
Pd 2.1340 5.9971 8.2952
Pd 0.7113 1.4453 3.0834
```

DFT (PBE-GGA) results for a relaxed structure of Cs2SnH.

Output
N(E_F): 0.74 states/eV per atom
Energy above the lowest structure with this stoichiometry: 0 kJ/mol of formula units
Calculated total energy: -2.075 eV/atom

Geometry as extended XYZ:
```
4
Lattice="4.0379 0.0000 0.0000 2.0189 3.4969 0.0000 2.0189 1.1656 11.2035" Properties=species:S:1:pos:R:3 pbc="T T T"
Cs 2.0190 1.1656 7.4857
Cs 6.0568 3.4969 3.7178
H 4.0379 2.3313 5.6018
Sn 0.0000 0.0000 0.0000
```